Record 1
# ThAlB2Ir5 | Alexandria via LeMat-Bulk | GGA-PBE | optimized geometry
data_ThAlB2Ir5
_cell_length_a 4.225
_cell_length_b 4.225
_cell_length_c 7.483
_cell_angle_alpha 90.00
_cell_angle_beta 90.00
_cell_angle_gamma 90.00
_symmetry_space_group_name_H-M 'P 4/m m m'
_symmetry_Int_Tables_number 123
_symmetry_space_group_name_Hall '-P 4 2'
loop_
_atom_site_label
_atom_site_fract_x
_atom_site_fract_y
_atom_site_fract_z
Th1 0.000 0.000 0.000
Al1 0.000 0.000 0.500
B1 0.500 0.500 0.309
Ir1 0.000 0.500 0.293
Ir2 0.500 0.500 0.000
# Crystal system   tetragonal
# Calculated formation energy   -510 meV/atom

---

Record 2
# Mn2VCo | Alexandria via LeMat-Bulk | GGA-PBE | optimized geometry
data_Mn2VCo
_cell_length_a 5.772
_cell_length_b 5.772
_cell_length_c 5.772
_cell_angle_alpha 90.00
_cell_angle_beta 90.00
_cell_angle_gamma 90.00
_symmetry_space_group_name_H-M 'F m -3 m'
_symmetry_Int_Tables_number 225
_symmetry_space_group_name_Hall '-F 4 2 3'
loop_
_atom_site_label
_atom_site_fract_x
_atom_site_fract_y
_atom_site_fract_z
Mn1 0.250 0.250 0.250
V1 0.000 0.000 0.000
Co1 0.000 0.000 0.500
# Crystal system   cubic
# Calculated formation energy   -90 meV/atom
# Energy above the lowest structure with this stoichiometry   0 meV per atom

---

Record 3
# Na2Al2Sb | Alexandria via LeMat-Bulk | GGA-PBE | optimized geometry
data_Na2Al2Sb
_cell_length_a 8.584
_cell_length_b 8.584
_cell_length_c 3.242
_cell_angle_alpha 90.00
_cell_angle_beta 90.00
_cell_angle_gamma 90.00
_symmetry_space_group_name_H-M 'P 4/m b m'
_symmetry_Int_Tables_number 127
_symmetry_space_group_name_Hall '-P 4 2ab'
loop_
_atom_site_label
_atom_site_fract_x
_atom_site_fract_y
_atom_site_fract_z
Na1 0.186 0.314 0.000
Al1 0.111 0.611 0.500
Sb1 0.000 0.000 0.500
# Crystal system   tetragonal
# E_form (uncorrected)   0.181 eV per atom

---

Record 4
# LaTaAuS2 | Alexandria via LeMat-Bulk | GGA-PBE | optimized geometry
data_LaTaAuS2
_cell_length_a 4.746
_cell_length_b 4.746
_cell_length_c 5.242
_cell_angle_alpha 90.00
_cell_angle_beta 90.00
_cell_angle_gamma 90.00
_symmetry_space_group_name_H-M 'P 4/m m m'
_symmetry_Int_Tables_number 123
_symmetry_space_group_name_Hall '-P 4 2'
loop_
_atom_site_label
_atom_site_fract_x
_atom_site_fract_y
_atom_site_fract_z
La1 0.000 0.000 0.000
Ta1 0.500 0.500 0.500
Au1 0.500 0.500 0.000
S1 0.000 0.500 0.500
# Crystal system   tetragonal
# E_form (uncorrected)   -0.819 eV per atom

---

Record 5
# CsTcSCl2 | Alexandria via LeMat-Bulk | GGA-PBE | optimized geometry
data_CsTcSCl2
_cell_length_a 6.040
_cell_length_b 6.040
_cell_length_c 5.533
_cell_angle_alpha 90.00
_cell_angle_beta 90.00
_cell_angle_gamma 90.00
_symmetry_space_group_name_H-M 'P 4/m m m'
_symmetry_Int_Tables_number 123
_symmetry_space_group_name_Hall '-P 4 2'
loop_
_atom_site_label
_atom_site_fract_x
_atom_site_fract_y
_atom_site_fract_z
Cs1 0.000 0.000 0.000
Tc1 0.500 0.500 0.500
S1 0.000 0.000 0.500
Cl1 0.000 0.500 0.000
# Crystal system   tetragonal
# E_form (uncorrected)   0.970 eV per atom
# Energy above the lowest structure with this stoichiometry   1737 meV per atom

---

Record 6
# PmDy4Ho | Alexandria via LeMat-Bulk | GGA-PBE | optimized geometry
data_PmDy4Ho
_cell_length_a 3.550
_cell_length_b 6.162
_cell_length_c 9.417
_cell_angle_alpha 77.30
_cell_angle_beta 79.17
_cell_angle_gamma 73.33
_symmetry_space_group_name_H-M 'P -1'
_symmetry_Int_Tables_number 2
loop_
_symmetry_equiv_pos_as_xyz
'x,y,z'
'-x,-y,-z'
loop_
_atom_site_label
_atom_site_fract_x
_atom_site_fract_y
_atom_site_fract_z
Pm1 0.000 0.000 0.000
Dy1 0.333 0.999 0.335
Dy2 0.334 0.501 0.832
Ho1 0.000 0.500 0.500
# Crystal system   triclinic
# Calculated formation energy   18 meV/atom
# Energy above the lowest structure with this stoichiometry   0 meV per atom

---

D(E_F) values (in states/eV/atom) by entry order: 0.103, 1.143, 0.298, 0.608, 0.741, 1.379.